No. 1
An optimized crystal structure of TaRu2Rh. Source: Alexandria, functional PBE.

The structure belongs to space group P2/m (No. 10); the cell edges are 2.834, 3.780 and 5.612 Å and the angles 90.00°, 90.08° and 90.00°. The distinct sites, in fractional coordinates, are Ta at (0.000, 0.000, 0.000), Ru at (0.500, 0.500, 0.257) and Rh at (0.000, 0.000, 0.500).

For the calculated formation energy, the calculation gives -2.7 kcal/mol of atoms. The value obtained for the size of the total moment is 0.0 μB/cell.

No. 2
An optimized crystal structure of MgPdS2. Source: Alexandria, functional PBE.

The structure belongs to space group R-3m (No. 166, hexagonal axes); the cell edges are 3.5737, 3.5737 and 22.3564 Å and the angles 90.00°, 90.00° and 120.00°. The distinct sites, in fractional coordinates, are Mg at (0.0000, 0.0000, 0.0000), Pd at (0.0000, 0.0000, 0.5000) and S at (0.0000, 0.0000, 0.3996).

The value obtained for the size of the total moment is 0.0 μB/cell. The calculation puts the uncorrected formation energy at -393 meV/atom.

No. 3
An optimized crystal structure of ErAg2BiSe4. Source: Alexandria, functional PBE.

The structure belongs to space group P2/m (No. 10); the cell edges are 6.990, 4.165 and 7.256 Å and the angles 90.00°, 110.38° and 90.00°. The distinct sites, in fractional coordinates, are Er at (0.000, 0.000, 0.000), Ag at (0.500, 0.000, 0.500), Ag at (0.500, 0.500, 0.000), Bi at (0.000, 0.500, 0.500), Se at (0.247, 0.500, 0.243) and Se at (0.256, 0.000, 0.761).

The value obtained for the size of the total moment is 0.0 μB/cell. The calculation puts the uncorrected formation energy at -705 meV/atom.